[1]
! KZrSeBr2, single point on PBEsol structure, DFT SCAN; values from VASP
! Space-group type: P4/mmm (123)
! Formation energy from raw total energies: 0.14 eV per atom
&SYSTEM
  ibrav = 0, nat = 5, ntyp = 4
/
ATOMIC_SPECIES
K 39.10 K.upf
Zr 91.22 Zr.upf
Se 78.96 Se.upf
Br 79.90 Br.upf
ATOMIC_POSITIONS angstrom
K 0.000 0.000 0.000
Zr 2.695 2.695 2.786
Se 0.000 0.000 2.786
Br 0.000 2.695 0.000
Br 2.695 0.000 0.000
CELL_PARAMETERS angstrom
5.390 0.000 0.000
0.000 5.390 0.000
0.000 0.000 5.573

***

[2]
! K2LaRu, single point on PBEsol structure, DFT SCAN; values from VASP
! Distance to the lowest polymorph of the same formula: 0 meV per atom
! Energy of formation from the pure elements: 2.907 eV/f.u.
! Space-group type: I4/mmm (139)
&SYSTEM
  ibrav = 0, nat = 4, ntyp = 3
/
ATOMIC_SPECIES
K 39.10 K.upf
La 138.91 La.upf
Ru 101.07 Ru.upf
ATOMIC_POSITIONS angstrom
K 2.100 0.000 3.166
K 0.000 2.100 3.166
La 0.000 0.000 0.000
Ru 0.000 0.000 6.332
CELL_PARAMETERS angstrom
-2.100 2.100 6.332
2.100 -2.100 6.332
2.100 2.100 -6.332

***

[3]
! ZnIn3Pt, single point on PBEsol structure, DFT SCAN; values from VASP
! Energy of formation from the pure elements: 2.691 eV/f.u.
! Space-group type: Pm-3m (221)
&SYSTEM
  ibrav = 0, nat = 5, ntyp = 3
/
ATOMIC_SPECIES
Zn 65.41 Zn.upf
In 114.82 In.upf
Pt 195.08 Pt.upf
ATOMIC_POSITIONS angstrom
Zn 0.000 0.000 0.000
In 0.000 0.000 2.456
In 0.000 2.456 0.000
In 2.456 0.000 0.000
Pt 2.456 2.456 2.456
CELL_PARAMETERS angstrom
4.911 0.000 0.000
0.000 4.911 0.000
0.000 0.000 4.911

***

[4]
! BaBeTe2Cl, single point on PBEsol structure, DFT SCAN; values from VASP
! Space-group type: P4/mmm (123)
! Formation energy from raw total energies: 0.22 eV per atom
&SYSTEM
  ibrav = 0, nat = 5, ntyp = 4
/
ATOMIC_SPECIES
Ba 137.33 Ba.upf
Be 9.01 Be.upf
Te 127.60 Te.upf
Cl 35.45 Cl.upf
ATOMIC_POSITIONS angstrom
Ba 0.000 0.000 0.000
Be 3.349 3.349 2.874
Te 0.000 3.349 0.000
Te 3.349 0.000 0.000
Cl 0.000 0.000 2.874
CELL_PARAMETERS angstrom
6.698 0.000 0.000
0.000 6.698 0.000
0.000 0.000 5.747

***

[5]
! GaCo2Pb, single point on PBEsol structure, DFT SCAN; values from VASP
! Energy of formation from the pure elements: 1.600 eV/f.u.
! Space-group type: Fm-3m (225)
&SYSTEM
  ibrav = 0, nat = 4, ntyp = 3
/
ATOMIC_SPECIES
Ga 69.72 Ga.upf
Co 58.93 Co.upf
Pb 207.20 Pb.upf
ATOMIC_POSITIONS angstrom
Ga 0.000 0.000 0.000
Co 1.521 1.521 1.521
Co 4.562 4.562 4.562
Pb 3.042 3.042 3.042
CELL_PARAMETERS angstrom
0.000 3.042 3.042
3.042 0.000 3.042
3.042 3.042 0.000

***

[6]
! ZrMnNi2, single point on PBEsol structure, DFT SCAN; values from VASP
! Energy of formation from the pure elements: 0.794 eV/f.u.
! Space-group type: R3m (160)
&SYSTEM
  ibrav = 0, nat = 4, ntyp = 3
/
ATOMIC_SPECIES
Zr 91.22 Zr.upf
Mn 54.94 Mn.upf
Ni 58.69 Ni.upf
ATOMIC_POSITIONS angstrom
Zr 0.000 0.000 0.000
Mn 0.000 0.000 5.948
Ni 0.000 0.000 12.432
Ni 0.000 0.000 18.857
CELL_PARAMETERS angstrom
1.383 0.799 8.329
-1.383 0.799 8.329
0.000 -1.597 8.329

***

[7]
! CaCdCoCl2, single point on PBEsol structure, DFT SCAN; values from VASP
! Space-group type: P4/mmm (123)
! Formation energy from raw total energies: -0.46 eV per atom
&SYSTEM
  ibrav = 0, nat = 5, ntyp = 4
/
ATOMIC_SPECIES
Ca 40.08 Ca.upf
Cd 112.41 Cd.upf
Co 58.93 Co.upf
Cl 35.45 Cl.upf
ATOMIC_POSITIONS angstrom
Ca 0.000 0.000 0.000
Cd 0.000 0.000 3.385
Co 2.513 2.513 3.385
Cl 0.000 2.513 0.000
Cl 2.513 0.000 0.000
CELL_PARAMETERS angstrom
5.027 0.000 0.000
0.000 5.027 0.000
0.000 0.000 6.770

***

[8]
! Ag2HgMo, single point on PBEsol structure, DFT SCAN; values from VASP
! Energy of formation from the pure elements: 2.029 eV/f.u.
! Space-group type: Pmm2 (25)
&SYSTEM
  ibrav = 0, nat = 4, ntyp = 3
/
ATOMIC_SPECIES
Ag 107.87 Ag.upf
Hg 200.59 Hg.upf
Mo 95.94 Mo.upf
ATOMIC_POSITIONS angstrom
Ag 0.000 0.000 0.000
Ag 1.380 2.062 1.458
Hg 0.000 0.000 3.053
Mo 1.380 2.062 4.553
CELL_PARAMETERS angstrom
2.759 0.000 0.000
0.000 4.124 0.000
0.000 0.000 5.982

***

Repeat the third record exactly.
! ZnIn3Pt, single point on PBEsol structure, DFT SCAN; values from VASP
! Energy of formation from the pure elements: 2.691 eV/f.u.
! Space-group type: Pm-3m (221)
&SYSTEM
  ibrav = 0, nat = 5, ntyp = 3
/
ATOMIC_SPECIES
Zn 65.41 Zn.upf
In 114.82 In.upf
Pt 195.08 Pt.upf
ATOMIC_POSITIONS angstrom
Zn 0.000 0.000 0.000
In 0.000 0.000 2.456
In 0.000 2.456 0.000
In 2.456 0.000 0.000
Pt 2.456 2.456 2.456
CELL_PARAMETERS angstrom
4.911 0.000 0.000
0.000 4.911 0.000
0.000 0.000 4.911

***

What did the seventh record say?
! CaCdCoCl2, single point on PBEsol structure, DFT SCAN; values from VASP
! Space-group type: P4/mmm (123)
! Formation energy from raw total energies: -0.46 eV per atom
&SYSTEM
  ibrav = 0, nat = 5, ntyp = 4
/
ATOMIC_SPECIES
Ca 40.08 Ca.upf
Cd 112.41 Cd.upf
Co 58.93 Co.upf
Cl 35.45 Cl.upf
ATOMIC_POSITIONS angstrom
Ca 0.000 0.000 0.000
Cd 0.000 0.000 3.385
Co 2.513 2.513 3.385
Cl 0.000 2.513 0.000
Cl 2.513 0.000 0.000
CELL_PARAMETERS angstrom
5.027 0.000 0.000
0.000 5.027 0.000
0.000 0.000 6.770